The following is a PBE calculation of crystalline ScRe2Pb at its relaxed geometry, from Alexandria.

abc: 9.3934 9.3934 9.3934
angles: 18.69 18.69 18.69
Fractional positions:
Pb  0.7500  0.7500  0.7500
Re  0.5024  0.5024  0.5024
Re  0.9976  0.9976  0.9976
Sc  0.2500  0.2500  0.2500

---

The following is a PBE calculation of crystalline ScRe2Pb at its relaxed geometry, from Alexandria.

abc: 3.0097 4.3583 6.0951
angles: 90.00 90.00 90.00
Fractional positions:
Re  0.0000  0.0000  0.4389
Re  0.0000  0.0000  0.0611
Sc  0.5000  0.5000  0.2500
Pb  0.5000  0.5000  0.7500

---

The following is a PBE calculation of crystalline SrScRe2Pb at its relaxed geometry, from Alexandria.

abc: 5.1524 5.2918 5.1524
angles: 90.00 90.00 90.00
Each line ends with the local moment (μB).
Fractional positions:
Sr  0.5000  0.5000  0.5000  -0.01
Re  0.5000  0.0000  0.0000  0.89
Re  0.0000  0.0000  0.5000  1.00
Pb  0.0000  0.0000  0.0000  -0.04
Sc  0.0000  0.5000  0.0000  -0.32

---

These records have energy relative to the elements values of 0.760 0.467 1.744 eV/atom, in the order they appear.